(1)
An optimized crystal structure of Li2TlMo. Source: Alexandria, functional PBE.

Computed properties:
DFT formation energy, eV/atom: 0.402

a = 4.015 Å, b = 4.015 Å, c = 4.254 Å
α = 90.00°, β = 90.00°, γ = 90.00°
Atoms (fractional coordinates):
1 Li 0.000 0.500 0.000
2 Li 0.500 0.000 0.000
3 Tl 0.000 0.000 0.500
4 Mo 0.500 0.500 0.500

***

(2)
An optimized crystal structure of BaCu2Mo. Source: Alexandria, functional PBE.

Computed properties:
DFT formation energy, eV/atom: 0.914

a = 4.989 Å, b = 4.989 Å, c = 4.989 Å
α = 60.00°, β = 60.00°, γ = 60.00°
Atoms (fractional coordinates):
1 Ba 0.000 0.000 0.000
2 Cu 0.250 0.250 0.250
3 Cu 0.750 0.750 0.750
4 Mo 0.500 0.500 0.500

***

(3)
An optimized crystal structure of PtAuI2. Source: Alexandria, functional PBE.

Computed properties:
E_form (uncorrected), eV/f.u.: 1.00

a = 7.713 Å, b = 7.713 Å, c = 7.713 Å
α = 131.23°, β = 131.23°, γ = 71.44°
Atoms (fractional coordinates):
1 Pt 0.000 0.000 0.000
2 Pt 0.750 0.250 0.500
3 Au 0.250 0.750 0.500
4 Au 0.500 0.500 0.000
5 I 0.103 0.625 0.978
6 I 0.375 0.353 0.478
7 I 0.647 0.125 0.022
8 I 0.875 0.897 0.522

***

Computed spin magnetization (μB per formula unit) in order:
0.903, 3.498, 0.000
Computed energy relative to the lowest polymorph listed for this composition (eV per atom) in order:
0.0458, 0.4602, 0.0000